No. 1
This record from Alexandria describes a relaxed ScAl2HAu crystal. The functional is PBE.

Cell and atoms, written as POSCAR:
```
ScAl2HAu
1.0
4.200 0.000 0.000
0.000 4.200 0.000
0.000 0.000 4.037
Sc Al H Au
1 2 1 1
Cartesian
0.000 0.000 0.000 Sc
0.000 2.100 2.019 Al
2.100 0.000 2.019 Al
0.000 0.000 2.019 H
2.100 2.100 0.000 Au
```

Crystal system: tetragonal
Total moment (μB/f.u.): 0.0

---

No. 2
This record from Alexandria describes a relaxed Al2HAuSe crystal. The functional is PBE.

Cell and atoms, written as POSCAR:
```
Al2HAuSe
1.0
5.089 0.000 0.000
0.000 5.089 0.000
0.000 0.000 3.206
Al H Au Se
2 1 1 1
Cartesian
0.000 2.544 0.000 Al
2.544 0.000 0.000 Al
0.000 0.000 1.603 H
2.544 2.544 1.603 Au
0.000 0.000 0.000 Se
```

Crystal system: tetragonal
Total moment (μB/f.u.): 0.0

---

No. 3
This record from Alexandria describes a relaxed AlSiH2Au crystal. The functional is PBE.

Cell and atoms, written as POSCAR:
```
AlSiH2Au
1.0
3.580 0.000 0.000
0.000 3.580 0.000
0.000 0.000 5.377
Al Si H Au
1 1 2 1
Cartesian
0.000 0.000 0.000 Al
0.000 0.000 2.689 Si
0.000 1.790 2.689 H
1.790 0.000 2.689 H
1.790 1.790 0.000 Au
```

Crystal system: tetragonal
Total moment (μB/f.u.): 0.0

---

| no. | total DFT energy (no corrections) (eV per atom) |
| --- | --- |
| 1 | -4.47 |
| 2 | -3.39 |
| 3 | -3.60 |